(1)
The following is a PBEsol calculation of Ca10Si3Pt7 after structural relaxation, from Alexandria via LeMat-Bulk.

It has space group P6_3/mcm (No. 193), with a = 8.6961 Å, b = 8.6961 Å, c = 13.6569 Å, α = 90.00°, β = 90.00° and γ = 120.00°. The distinct sites, in fractional coordinates, are Ca at (0.0000, 0.2592, 0.1070), Ca at (0.3333, 0.6667, 0.0000), Ca at (0.3333, 0.6667, 0.2500), Si at (0.0000, 0.2852, 0.7500), Pt at (0.0000, 0.0000, 0.2500) and Pt at (0.0000, 0.4088, 0.5959).

Its formation energy (no corrections) is -899 meV/atom. The value obtained for the density is 6.87 g/cm³.



(2)
The following is a PBEsol calculation of CaSi3Pt after structural relaxation, from Alexandria via LeMat-Bulk.

It has space group Pm-3m (No. 221), with a = 4.894 Å, b = 4.894 Å, c = 4.894 Å, α = 90.00°, β = 90.00° and γ = 90.00°. The distinct sites, in fractional coordinates, are Ca at (0.000, 0.000, 0.000), Si at (0.000, 0.000, 0.500) and Pt at (0.500, 0.500, 0.500).

Its formation energy (no corrections) is 1884 meV/atom. The value obtained for the density is 4.52 g/cm³.



(3)
The following is a PBEsol calculation of Ca2SiPt after structural relaxation, from Alexandria via LeMat-Bulk.

It has space group Cm (No. 8), with a = 11.555 Å, b = 3.468 Å, c = 4.843 Å, α = 90.00°, β = 114.70° and γ = 90.00°. The distinct sites, in fractional coordinates, are Ca at (0.000, 0.000, 0.000), Ca at (0.204, 0.000, 0.703), Si at (0.286, 0.500, 0.285) and Pt at (0.440, 0.000, 0.440).

Its formation energy (no corrections) is -645 meV/atom. The value obtained for the density is 5.71 g/cm³.



(4)
The following is a PBEsol calculation of CaSi3Pt after structural relaxation, from Alexandria via LeMat-Bulk.

It has space group I4mm (No. 107), with a = 4.211 Å, b = 4.211 Å, c = 9.801 Å, α = 90.00°, β = 90.00° and γ = 90.00°. The distinct sites, in fractional coordinates, are Ca at (0.000, 0.000, 0.000), Si at (0.000, 0.000, 0.599), Si at (0.000, 0.500, 0.240) and Pt at (0.000, 0.000, 0.358).

Its formation energy (no corrections) is -720 meV/atom. The value obtained for the density is 6.10 g/cm³.



(5)
The following is a PBEsol calculation of Ca2SiPt after structural relaxation, from Alexandria via LeMat-Bulk.

It has space group Amm2 (No. 38), with a = 4.294 Å, b = 4.498 Å, c = 9.932 Å, α = 90.00°, β = 90.00° and γ = 90.00°. The distinct sites, in fractional coordinates, are Ca at (0.000, 0.000, 0.000), Ca at (0.500, 0.000, 0.293), Si at (0.500, 0.000, 0.601) and Pt at (0.000, 0.000, 0.698).

Its formation energy (no corrections) is -760 meV/atom. The value obtained for the density is 5.25 g/cm³.



(6)
The following is a PBEsol calculation of CaSiPt3 after structural relaxation, from Alexandria via LeMat-Bulk.

It has space group Pm-3m (No. 221), with a = 4.560 Å, b = 4.560 Å, c = 4.560 Å, α = 90.00°, β = 90.00° and γ = 90.00°. The distinct sites, in fractional coordinates, are Ca at (0.000, 0.000, 0.000), Si at (0.500, 0.500, 0.500) and Pt at (0.000, 0.500, 0.500).

Its formation energy (no corrections) is -472 meV/atom. The value obtained for the density is 11.45 g/cm³.



(7)
The following is a PBEsol calculation of CaSiPt2 after structural relaxation, from Alexandria via LeMat-Bulk.

It has space group P4mm (No. 99), with a = 3.426 Å, b = 3.426 Å, c = 5.995 Å, α = 90.00°, β = 90.00° and γ = 90.00°. The distinct sites, in fractional coordinates, are Ca at (0.000, 0.000, 0.000), Si at (0.500, 0.500, 0.657), Pt at (0.000, 0.000, 0.525) and Pt at (0.500, 0.500, 0.263).

Its formation energy (no corrections) is -567 meV/atom. The value obtained for the density is 10.81 g/cm³.



(8)
The following is a PBEsol calculation of CaY2SiPt after structural relaxation, from Alexandria via LeMat-Bulk.

It has space group P4/mmm (No. 123), with a = 5.376 Å, b = 5.376 Å, c = 4.535 Å, α = 90.00°, β = 90.00° and γ = 90.00°. The distinct sites, in fractional coordinates, are Ca at (0.000, 0.000, 0.000), Y at (0.000, 0.500, 0.500), Si at (0.500, 0.500, 0.500) and Pt at (0.500, 0.500, 0.000).

Its formation energy (no corrections) is -255 meV/atom. The value obtained for the density is 5.59 g/cm³.



(9)
The following is a PBEsol calculation of Ca3Sn13Pt4 after structural relaxation, from Alexandria via LeMat-Bulk.

It has space group Pm-3n (No. 223), with a = 9.748 Å, b = 9.748 Å, c = 9.748 Å, α = 90.00°, β = 90.00° and γ = 90.00°. The distinct sites, in fractional coordinates, are Ca at (0.000, 0.250, 0.500), Sn at (0.000, 0.000, 0.000), Sn at (0.000, 0.310, 0.150) and Pt at (0.250, 0.250, 0.250).

The value obtained for the energy of formation is -0.54 eV per atom. The value obtained for the density is 8.76 g/cm³.



(10)
The following is a PBEsol calculation of Ca3SnPt after structural relaxation, from Alexandria via LeMat-Bulk.

It has space group Pm-3m (No. 221), with a = 5.700 Å, b = 5.700 Å, c = 5.700 Å, α = 90.00°, β = 90.00° and γ = 90.00°. The distinct sites, in fractional coordinates, are Ca at (0.000, 0.000, 0.500), Sn at (0.000, 0.000, 0.000) and Pt at (0.500, 0.500, 0.500).

The value obtained for the energy of formation is 0.19 eV per atom. The value obtained for the density is 3.89 g/cm³.



(11)
The following is a PBEsol calculation of Ca2Sn5Pt3 after structural relaxation, from Alexandria via LeMat-Bulk.

It has space group Pnma (No. 62), with a = 7.342 Å, b = 4.440 Å, c = 26.349 Å, α = 90.00°, β = 90.00° and γ = 90.00°. The distinct sites, in fractional coordinates, are Ca at (0.219, 0.250, 0.227), Ca at (0.247, 0.250, 0.923), Sn at (0.035, 0.750, 0.544), Sn at (0.038, 0.250, 0.043), Sn at (0.095, 0.250, 0.347), Sn at (0.117, 0.250, 0.798), Sn at (0.215, 0.750, 0.132), Pt at (0.004, 0.750, 0.300), Pt at (0.036, 0.750, 0.857) and Pt at (0.244, 0.250, 0.527).

The value obtained for the energy of formation is -0.76 eV per atom. The value obtained for the density is 9.74 g/cm³.



(12)
The following is a PBEsol calculation of SrCa2Pt after structural relaxation, from Alexandria via LeMat-Bulk.

It has space group Immm (No. 71), with a = 3.665 Å, b = 5.611 Å, c = 12.382 Å, α = 90.00°, β = 90.00° and γ = 90.00°. The distinct sites, in fractional coordinates, are Sr at (0.000, 0.000, 0.000), Ca at (0.000, 0.500, 0.177) and Pt at (0.000, 0.000, 0.500).

The value obtained for the energy above the lowest structure with this stoichiometry is 0.00 eV/f.u. The value obtained for the energy of formation is -0.42 eV per atom. The value obtained for the density is 4.73 g/cm³.



(13)
The following is a PBEsol calculation of SrCa3Pt after structural relaxation, from Alexandria via LeMat-Bulk.

It has space group Cmmm (No. 65), with a = 10.545 Å, b = 15.217 Å, c = 4.170 Å, α = 90.00°, β = 90.00° and γ = 90.00°. The distinct sites, in fractional coordinates, are Sr at (0.000, 0.201, 0.000), Ca at (0.000, 0.000, 0.500), Ca at (0.000, 0.500, 0.000), Ca at (0.211, 0.378, 0.500) and Pt at (0.209, 0.000, 0.000).

The value obtained for the energy above the lowest structure with this stoichiometry is 0.00 eV/f.u. The value obtained for the energy of formation is -0.44 eV per atom. The value obtained for the density is 4.00 g/cm³.



(14)
The following is a PBEsol calculation of Sr2CaPt after structural relaxation, from Alexandria via LeMat-Bulk.

It has space group Immm (No. 71), with a = 3.665 Å, b = 4.755 Å, c = 16.177 Å, α = 90.00°, β = 90.00° and γ = 90.00°. The distinct sites, in fractional coordinates, are Sr at (0.000, 0.000, 0.157), Ca at (0.000, 0.500, 0.000) and Pt at (0.000, 0.500, 0.500).

The value obtained for the energy above the lowest structure with this stoichiometry is 0.00 eV/f.u. The value obtained for the energy of formation is -0.38 eV per atom. The value obtained for the density is 4.83 g/cm³.



(15)
The following is a PBEsol calculation of SrCaPt4 after structural relaxation, from Alexandria via LeMat-Bulk.

It has space group F-43m (No. 216), with a = 7.674 Å, b = 7.674 Å, c = 7.674 Å, α = 90.00°, β = 90.00° and γ = 90.00°. The distinct sites, in fractional coordinates, are Sr at (0.000, 0.000, 0.000), Ca at (0.250, 0.250, 0.250) and Pt at (0.125, 0.125, 0.625).

The value obtained for the energy of formation is -0.87 eV per atom. The value obtained for the density is 13.35 g/cm³.



(16)
The following is a PBEsol calculation of SrCaPt after structural relaxation, from Alexandria via LeMat-Bulk.

It has space group F-43m (No. 216), with a = 7.076 Å, b = 7.076 Å, c = 7.076 Å, α = 90.00°, β = 90.00° and γ = 90.00°. The distinct sites, in fractional coordinates, are Sr at (0.000, 0.000, 0.000), Ca at (0.000, 0.000, 0.500) and Pt at (0.250, 0.250, 0.250).

The value obtained for the energy of formation is -0.63 eV per atom. The value obtained for the density is 6.05 g/cm³.



(17)
The following is a PBEsol calculation of SrCa3Pt after structural relaxation, from Alexandria via LeMat-Bulk.

It has space group Pm-3m (No. 221), with a = 5.636 Å, b = 5.636 Å, c = 5.636 Å, α = 90.00°, β = 90.00° and γ = 90.00°. The distinct sites, in fractional coordinates, are Sr at (0.000, 0.000, 0.000), Ca at (0.000, 0.500, 0.500) and Pt at (0.500, 0.500, 0.500).

The value obtained for the energy above the lowest structure with this stoichiometry is 0.12 eV/f.u. The value obtained for the energy of formation is -0.42 eV per atom. The value obtained for the density is 3.74 g/cm³.



(18)
The following is a PBEsol calculation of Sr3CaPt after structural relaxation, from Alexandria via LeMat-Bulk.

It has space group Pm-3m (No. 221), with a = 5.908 Å, b = 5.908 Å, c = 5.908 Å, α = 90.00°, β = 90.00° and γ = 90.00°. The distinct sites, in fractional coordinates, are Sr at (0.000, 0.000, 0.500), Ca at (0.500, 0.500, 0.500) and Pt at (0.000, 0.000, 0.000).

The value obtained for the energy of formation is -0.36 eV per atom. The value obtained for the density is 4.01 g/cm³.



(19)
The following is a PBEsol calculation of SrCa2Pt2 after structural relaxation, from Alexandria via LeMat-Bulk.

It has space group I4/mmm (No. 139), with a = 4.567 Å, b = 4.567 Å, c = 12.408 Å, α = 90.00°, β = 90.00° and γ = 90.00°. The distinct sites, in fractional coordinates, are Sr at (0.000, 0.000, 0.000), Ca at (0.000, 0.500, 0.250) and Pt at (0.000, 0.000, 0.396).

The value obtained for the energy above the lowest structure with this stoichiometry is 0.13 eV/f.u. The value obtained for the energy of formation is -0.67 eV per atom. The value obtained for the density is 7.16 g/cm³.



(20)
The following is a PBEsol calculation of Sr2CaPt2 after structural relaxation, from Alexandria via LeMat-Bulk.

It has space group P4/mbm (No. 127), with a = 7.759 Å, b = 7.759 Å, c = 4.390 Å, α = 90.00°, β = 90.00° and γ = 90.00°. The distinct sites, in fractional coordinates, are Sr at (0.166, 0.334, 0.000), Ca at (0.000, 0.000, 0.500) and Pt at (0.125, 0.625, 0.500).

The value obtained for the energy of formation is -0.68 eV per atom. The value obtained for the density is 7.61 g/cm³.



(21)
The following is a PBEsol calculation of SrCa2Pt after structural relaxation, from Alexandria via LeMat-Bulk.

It has space group I4/mmm (No. 139), with a = 4.660 Å, b = 4.660 Å, c = 10.296 Å, α = 90.00°, β = 90.00° and γ = 90.00°. The distinct sites, in fractional coordinates, are Sr at (0.000, 0.000, 0.000), Ca at (0.000, 0.500, 0.250) and Pt at (0.000, 0.000, 0.500).

The value obtained for the energy above the lowest structure with this stoichiometry is 1.06 eV/f.u. The value obtained for the energy of formation is -0.15 eV per atom. The value obtained for the density is 5.39 g/cm³.



(22)
The following is a PBEsol calculation of Sr2CaPt after structural relaxation, from Alexandria via LeMat-Bulk.

It has space group R-3m (No. 166, hexagonal axes), with a = 4.1910 Å, b = 4.1910 Å, c = 30.5742 Å, α = 90.00°, β = 90.00° and γ = 120.00°. The distinct sites, in fractional coordinates, are Sr at (0.0000, 0.0000, 0.2215), Ca at (0.0000, 0.0000, 0.0000) and Pt at (0.0000, 0.0000, 0.5000).

The value obtained for the energy above the lowest structure with this stoichiometry is 0.09 eV/f.u. The value obtained for the energy of formation is -0.35 eV per atom. The value obtained for the density is 4.40 g/cm³.



no.,E_tot (eV per atom)
1,-5.26
2,-3.38
3,-4.89
4,-5.99
5,-5.00
6,-6.23
7,-6.02
8,-5.95
9,-5.02
10,-3.33
11,-5.41
12,-3.69
13,-3.48
14,-3.57
15,-6.17
16,-4.28
17,-3.46
18,-3.28
19,-4.68
20,-4.63
21,-3.42
22,-3.55